No. 1
This record from the Open Quantum Materials Database describes PrSb after structural relaxation. The functional is GGA-PBE.

abc: 4.2943 4.2938 4.1429
angles: 90.00 90.00 120.00
Last column: nearest neighbours and their distance in Å.
Fractional coordinates of all 2 atoms:
Pr (0.6667, 0.3333, 0.7500)  6 Sb 3.23
Sb (0.3333, 0.6667, 0.2500)  6 Pr 3.23

Results
Raw total energy ... -10.79 eV/cell



No. 2
This record from the Open Quantum Materials Database describes DyFe2SiGe after structural relaxation. The functional is GGA-PBE.

abc: 5.6339 5.6339 5.6339
angles: 138.61 138.61 59.96
Last column: nearest neighbours and their distance in Å.
Fractional coordinates of all 5 atoms:
Si (0.6361, 0.6361, 0.0000)  4 Fe 2.26
Fe (0.2453, 0.7453, 0.5000)  2 Si 2.26, 2 Ge 2.35
Fe (0.7453, 0.2453, 0.5000)  2 Si 2.26, 2 Ge 2.35
Dy (0.0011, 0.0011, 0.0000)  4 Ge 3.08, 8 Fe 3.11-3.19, 4 Si 3.11
Ge (0.3723, 0.3723, 0.0000)  4 Fe 2.35, 1 Si 2.57

Results
Raw total energy ... -34.13 eV/cell



No. 3
This record from the Open Quantum Materials Database describes AgOsW2 after structural relaxation. The functional is GGA-PBE.

abc: 4.4825 4.4825 4.4825
angles: 60.00 60.00 60.00
Last column: nearest neighbours and their distance in Å.
Fractional coordinates of all 4 atoms:
W (0.5000, 0.5000, 0.5000)  4 W 2.74, 4 Ag 2.74
W (0.2500, 0.2500, 0.2500)  4 W 2.74, 4 Os 2.74
Ag (0.7500, 0.7500, 0.7500)  4 Os 2.74, 4 W 2.74
Os (0.0000, 0.0000, 0.0000)  4 Ag 2.74, 4 W 2.74

Results
Raw total energy ... -37.44 eV/cell
E_form ... 632 meV per atom



No. 4
This record from the Open Quantum Materials Database describes Gd2AlCo2 after structural relaxation. The functional is GGA-PBE.

abc: 4.0462 5.4267 5.4267
angles: 102.18 111.89 111.89
Last column: nearest neighbours and their distance in Å.
Fractional coordinates of all 5 atoms:
Gd (0.5000, 0.2962, 0.7038)  6 Co 2.92-2.93, 4 Al 3.22-3.24
Gd (0.5000, 0.7038, 0.2962)  6 Co 2.92-2.93, 4 Al 3.22-3.24
Co (0.7770, 0.2770, 0.2770)  1 Co 2.45, 2 Al 2.53
Al (0.0000, 0.0000, 0.0000)  4 Co 2.53
Co (0.2230, 0.7230, 0.7230)  1 Co 2.45, 2 Al 2.53

Results
Raw total energy ... -29.06 eV/cell



Q: The highest raw total energy belongs to which entry?
A: PrSb



Q: The highest raw total energy belongs to which entry?
A: PrSb



Q: Among the records above, which one has the lowest raw total energy?
A: AgOsW2



Q: Which value of raw total energy does entry 2 give?
A: -34.13 eV/cell